(1)
A relaxed MgH2S crystal, computed with PBE.

Cell: 4.0857 4.1027 5.4388 Å, 90.00 90.00 119.85°
Sites, in units of the cell vectors:
S: 0.8900 0.9810 0.0000
H: 0.5145 0.2488 0.5000
Mg: 0.5578 0.3166 0.0000
H: 0.6286 0.4616 0.5000

Properties
Mass density   1.23 g/cm3
VASP energy   -3.67 eV per atom


(2)
A relaxed PmRhSe crystal, computed with PBE.

Cell: 4.5497 4.5497 4.5497 Å, 60.00 60.00 60.00°
Sites, in units of the cell vectors:
Se: 0.5000 0.5000 0.5000
Rh: 0.2500 0.2500 0.2500
Pm: 0.0000 0.0000 0.0000

Properties
Mass density   8.15 g/cm3
VASP energy   -6.26 eV per atom
Formation energy without anion corrections   -1.068 eV/atom